# 1
This record from Alexandria describes a relaxed Ca2Pr6Nd crystal. The functional is PBE.

Unit cell a=3.4973 b=10.9237 c=17.6951 alpha=90.00 beta=90.00 gamma=90.00
Last column: nearest neighbours and their distance in Å.
Space group Immm (No. 71)
Unique sites:
Ca 0.0000 0.0000 0.1610 [4 per cell]  2 Ca 3.50, 8 Pr 3.61-3.89
Pr 0.0000 0.1816 0.3339 [8 per cell]  6 Pr 3.50-3.76, 1 Nd 3.55, 3 Ca 3.65-3.89
Pr 0.0000 0.2023 0.0000 [4 per cell]  6 Pr 3.50-3.65, 2 Ca 3.61, 2 Nd 3.69
Nd 0.0000 0.0000 0.5000 [2 per cell]  2 Nd 3.50, 8 Pr 3.55-3.69

energy of formation from the pure elements = 0.17 eV per atom

=====

# 2
This record from Alexandria describes a relaxed LaCrC2 crystal. The functional is PBE.

Unit cell a=5.8933 b=5.8933 c=5.8933 alpha=90.00 beta=90.00 gamma=90.00
Last column: nearest neighbours and their distance in Å.
Space group Fm-3m (No. 225)
Unique sites:
La 0.0000 0.0000 0.0000 [4 per cell]  8 C 2.55
Cr 0.0000 0.0000 0.5000 [4 per cell]  8 C 2.55
C 0.2500 0.2500 0.2500 [8 per cell]  4 Cr 2.55, 4 La 2.55

energy of formation from the pure elements = 1.23 eV per atom

=====

# 3
This record from Alexandria describes a relaxed MgTl2InS crystal. The functional is PBE.

Unit cell a=5.8788 b=5.8788 c=5.0936 alpha=90.00 beta=90.00 gamma=90.00
Last column: nearest neighbours and their distance in Å.
Space group P4/mmm (No. 123)
Unique sites:
Mg 0.0000 0.0000 0.0000 [1 per cell]  8 Tl 3.89, 4 S 4.16
Tl 0.0000 0.5000 0.5000 [2 per cell]  2 In 2.94
In 0.5000 0.5000 0.5000 [1 per cell]  2 S 2.55
S 0.5000 0.5000 0.0000 [1 per cell]  2 In 2.55

formation energy (no corrections) = 25.2 kJ/mol of atoms

=====

# 4
This record from Alexandria describes a relaxed B5C7 crystal. The functional is PBE.

Unit cell a=11.4377 b=2.5825 c=5.4435 alpha=90.00 beta=100.71 gamma=90.00
Last column: nearest neighbours and their distance in Å.
Space group Cm (No. 8)
Unique sites:
B 0.0000 0.0000 0.0000 [2 per cell]  1 C 1.54, 2 B 1.70
B 0.0786 0.5000 0.1507 [2 per cell]  1 C 1.51
B 0.1590 0.5000 0.8726 [2 per cell]  3 C 1.62-1.66
B 0.2486 0.0000 0.4436 [2 per cell]  4 C 1.64-1.71
B 0.4016 0.5000 0.2919 [2 per cell]  3 C 1.59-1.62
C 0.0735 0.5000 0.5999 [2 per cell]  3 C 1.54-1.58, 1 B 1.62
C 0.1562 0.5000 0.4069 [2 per cell]  3 B 1.51-1.66, 1 C 1.54
C 0.2507 0.0000 0.9413 [2 per cell]  2 C 1.51-1.60, 2 B 1.66
C 0.3247 0.0000 0.2022 [2 per cell]  1 C 1.51, 2 B 1.59
C 0.3290 0.0000 0.7273 [2 per cell]  3 C 1.56-1.60, 1 B 1.64
C 0.4073 0.5000 0.7561 [2 per cell]  1 B 1.54, 3 C 1.56-1.58
C 0.4925 0.5000 0.5580 [2 per cell]  3 C 1.58, 1 B 1.62

energy of formation from the pure elements = 0.40 eV per atom

=====

# 5
This record from Alexandria describes a relaxed KScIn crystal. The functional is PBE.

Unit cell a=7.4657 b=7.4657 c=7.4657 alpha=90.00 beta=90.00 gamma=90.00
Last column: nearest neighbours and their distance in Å.
Space group F-43m (No. 216)
Unique sites:
K 0.0000 0.0000 0.0000 [4 per cell]  4 In 3.23, 4 Sc 3.23
Sc 0.2500 0.2500 0.2500 [4 per cell]  4 K 3.23
In 0.2500 0.2500 0.7500 [4 per cell]  4 K 3.23

energy of formation from the pure elements = 0.88 eV per atom

=====

# 6
This record from Alexandria describes a relaxed CsTl3S2 crystal. The functional is PBE.

Unit cell a=15.5583 b=4.3759 c=14.7951 alpha=90.00 beta=119.51 gamma=90.00
Last column: nearest neighbours and their distance in Å.
Space group C2/m (No. 12)
Unique sites:
Cs 0.1025 0.0000 0.2214 [4 per cell]  3 S 3.35-3.39
Tl 0.1233 0.0000 0.7180 [4 per cell]  3 S 2.83-3.04
Tl 0.1234 0.5000 0.4736 [4 per cell]  3 S 2.90-3.06
Tl 0.1393 0.5000 0.9930 [4 per cell]  3 S 2.86-2.94
S 0.2324 0.0000 0.6114 [4 per cell]  4 Tl 2.83-3.06
S 0.2382 0.5000 0.8733 [4 per cell]  5 Tl 2.86-3.04

formation energy (no corrections) = -51.5 kJ/mol of atoms

=====

# 7
This record from Alexandria describes a relaxed ZrGeSb2I crystal. The functional is PBE.

Unit cell a=5.2936 b=5.2936 c=5.3886 alpha=90.00 beta=90.00 gamma=90.00
Last column: nearest neighbours and their distance in Å.
Space group P4/mmm (No. 123)
Unique sites:
Zr 0.0000 0.0000 0.0000 [1 per cell]  4 I 3.74, 8 Sb 3.78
Ge 0.5000 0.5000 0.5000 [1 per cell]  4 Sb 2.65, 2 I 2.69
Sb 0.0000 0.5000 0.5000 [2 per cell]  2 Ge 2.65
I 0.5000 0.5000 0.0000 [1 per cell]  2 Ge 2.69

formation energy (no corrections) = 67.8 kJ/mol of atoms

=====

# 8
This record from Alexandria describes a relaxed TlIn2Hg3Pb3 crystal. The functional is PBE.

Unit cell a=9.1480 b=9.1480 c=3.5817 alpha=90.00 beta=90.00 gamma=120.00
Last column: nearest neighbours and their distance in Å.
Space group P-62m (No. 189)
Unique sites:
Tl 0.0000 0.0000 0.0000 [1 per cell]  6 Pb 3.35, 3 Hg 3.36, 2 Tl 3.58
In 0.3333 0.6667 0.5000 [2 per cell]  3 Pb 3.17, 6 Hg 3.42
Hg 0.0000 0.3669 0.0000 [3 per cell]  1 Tl 3.36, 4 In 3.42, 6 Pb 3.46-3.60, 2 Hg 3.58
Pb 0.0000 0.6911 0.5000 [3 per cell]  2 In 3.17, 2 Tl 3.35, 2 Hg 3.46

energy of formation from the pure elements = 0.06 eV per atom